Record 1
A relaxed AcIn3Bi3 crystal, computed with GGA-PBE.

abc: 4.571 14.735 14.737
angles: 120.00 90.00 90.00
Positions (direct):
Bi: 0.750 0.849 0.507
Bi: 0.250 0.151 0.493
Bi: 0.750 0.659 0.151
Bi: 0.250 0.341 0.849
Bi: 0.250 0.507 0.659
Bi: 0.750 0.493 0.341
In: 0.750 0.404 0.484
In: 0.750 0.080 0.596
In: 0.750 0.516 0.920
In: 0.250 0.596 0.516
In: 0.250 0.920 0.404
In: 0.250 0.484 0.080
Ac: 0.250 0.667 0.333
Ac: 0.750 0.333 0.667

Properties
As for the calculated volume: 61.405 Å³ per atom. As for the excess energy over the best structure of this formula in the dataset: 0.0000 eV/atom. The total magnetization comes out at 0.000 μB/f.u. For the formation energy, the calculation gives -3 kJ/mol of formula units.

Record 2
A relaxed Ac10In3Bi3 crystal, computed with GGA-PBE.

abc: 7.322 9.968 9.968
angles: 120.00 90.00 90.00
Positions (direct):
Bi: 0.500 0.608 0.608
Bi: 0.500 0.000 0.392
Bi: 0.500 0.392 0.000
In: 0.000 0.000 0.603
In: 0.000 0.397 0.397
In: 0.000 0.603 0.000
Ac: 0.000 0.000 0.242
Ac: 0.500 0.243 0.243
Ac: 0.749 0.333 0.667
Ac: 0.500 0.757 0.000
Ac: 0.500 0.000 0.757
Ac: 0.000 0.242 0.000
Ac: 0.251 0.333 0.667
Ac: 0.749 0.667 0.333
Ac: 0.000 0.758 0.758
Ac: 0.251 0.667 0.333

Properties
As for the calculated volume: 39.379 Å³ per atom. The total magnetization comes out at 0.000 μB/f.u. For the formation energy, the calculation gives -795 kJ/mol of formula units.

Record 3
A relaxed AcIn6Bi crystal, computed with GGA-PBE.

abc: 5.541 6.869 6.869
angles: 64.77 90.00 90.00
Positions (direct):
In: 0.000 0.711 0.289
In: 0.500 0.000 0.500
In: 0.500 0.500 0.000
In: 0.000 0.289 0.711
In: 0.000 0.783 0.783
In: 0.000 0.217 0.217
Bi: 0.500 0.500 0.500
Ac: 0.500 0.000 0.000

Properties
As for the calculated volume: 29.563 Å³ per atom. The total magnetization comes out at 0.000 μB/f.u. For the formation energy, the calculation gives -123 kJ/mol of formula units.

Record 4
A relaxed Ac2InBi3 crystal, computed with GGA-PBE.

abc: 4.810 6.821 8.272
angles: 114.35 106.90 90.00
Positions (direct):
Bi: 0.343 0.343 0.686
Bi: 0.657 0.657 0.314
Bi: 0.000 0.000 0.000
Ac: 0.331 0.831 0.662
Ac: 0.669 0.169 0.338
In: 0.000 0.500 0.000

Properties
As for the calculated volume: 39.055 Å³ per atom. The total magnetization comes out at 0.000 μB/f.u. For the formation energy, the calculation gives -273 kJ/mol of formula units.

Record 5
A relaxed AcInBi2 crystal, computed with GGA-PBE.

abc: 4.437 4.437 6.855
angles: 90.00 90.00 90.00
Positions (direct):
Bi: 0.000 0.000 0.754
Bi: 0.000 0.000 0.246
Ac: 0.500 0.500 0.500
In: 0.500 0.500 0.000

Properties
As for the calculated volume: 33.734 Å³ per atom. As for the excess energy over the best structure of this formula in the dataset: 0.0796 eV/atom. The total magnetization comes out at 0.000 μB/f.u. For the formation energy, the calculation gives -165 kJ/mol of formula units.

Record 6
A relaxed Ac4InBi3 crystal, computed with GGA-PBE.

abc: 6.889 6.889 6.889
angles: 90.00 90.00 90.00
Positions (direct):
Bi: 0.000 0.500 0.500
Bi: 0.500 0.000 0.500
Bi: 0.500 0.500 0.000
Ac: 0.500 0.000 0.000
Ac: 0.000 0.500 0.000
Ac: 0.000 0.000 0.500
Ac: 0.500 0.500 0.500
In: 0.000 0.000 0.000

Properties
As for the calculated volume: 40.875 Å³ per atom. The total magnetization comes out at 0.000 μB/f.u. For the formation energy, the calculation gives -585 kJ/mol of formula units.